# AlCdAsPd2 (PBE, relaxed)
data_AlCdAsPd2
_chemical_formula_sum 'Al1 Cd1 As1 Pd2'
_cell_length_a 4.9681
_cell_length_b 4.7783
_cell_length_c 4.9681
_cell_angle_alpha 90.00
_cell_angle_beta 90.00
_cell_angle_gamma 90.00
_symmetry_space_group_name_H-M 'P 1'
_symmetry_Int_Tables_number 1
loop_
_symmetry_equiv_pos_as_xyz
'x,y,z'
loop_
_atom_site_label
_atom_site_type_symbol
_atom_site_fract_x
_atom_site_fract_y
_atom_site_fract_z
Pd1 Pd 0.5000 0.0000 0.0000
Pd2 Pd 0.0000 0.0000 0.5000
Al1 Al 0.0000 0.5000 0.0000
Cd1 Cd 0.0000 0.0000 0.0000
As1 As 0.5000 0.5000 0.5000
# final energy	-3.10	eV per atom
# total magnetization	0.00	μB/f.u.
# DFT formation energy	0.8413	eV per atom

# TiBe4Ni2 (PBE, relaxed)
data_TiBe4Ni2
_chemical_formula_sum 'Ti1 Be4 Ni2'
_cell_length_a 4.6079
_cell_length_b 4.5092
_cell_length_c 4.5094
_cell_angle_alpha 74.97
_cell_angle_beta 59.40
_cell_angle_gamma 59.39
_symmetry_space_group_name_H-M 'P 1'
_symmetry_Int_Tables_number 1
loop_
_symmetry_equiv_pos_as_xyz
'x,y,z'
loop_
_atom_site_label
_atom_site_type_symbol
_atom_site_fract_x
_atom_site_fract_y
_atom_site_fract_z
Ni1 Ni 0.2496 0.5004 0.5004
Be1 Be 0.3110 0.9999 0.3793
Ni2 Ni 0.7504 0.4996 0.4996
Be2 Be 0.6890 0.0001 0.6207
Be3 Be 0.3111 0.3792 0.9999
Ti1 Ti 0.0000 0.0000 0.0000
Be4 Be 0.6889 0.6208 0.0001
# final energy	-5.20	eV per atom
# total magnetization	0.33	μB/f.u.
# DFT formation energy	-0.2871	eV per atom

# LaHf3P4N12 (PBE, relaxed)
data_LaHf3P4N12
_chemical_formula_sum 'La1 Hf3 P4 N12'
_cell_length_a 6.7167
_cell_length_b 6.7167
_cell_length_c 6.7167
_cell_angle_alpha 104.47
_cell_angle_beta 104.47
_cell_angle_gamma 104.47
_symmetry_space_group_name_H-M 'P 1'
_symmetry_Int_Tables_number 1
loop_
_symmetry_equiv_pos_as_xyz
'x,y,z'
loop_
_atom_site_label
_atom_site_type_symbol
_atom_site_fract_x
_atom_site_fract_y
_atom_site_fract_z
N1 N 0.6313 0.7818 0.0299
P1 P 0.5000 0.9451 0.0549
N2 N 0.6482 0.5000 0.3518
N3 N 0.0934 0.9066 0.5000
N4 N 0.3687 0.9701 0.2182
La1 La 0.0000 0.0000 0.0000
P2 P 0.0549 0.5000 0.9451
N5 N 0.0299 0.6313 0.7818
N6 N 0.2182 0.3687 0.9701
P3 P 0.5000 0.5000 0.5000
N7 N 0.9066 0.5000 0.0934
N8 N 0.3518 0.6482 0.5000
N9 N 0.9701 0.2182 0.3687
Hf1 Hf 0.5537 0.4463 0.0000
P4 P 0.9451 0.0549 0.5000
N10 N 0.5000 0.0934 0.9066
Hf2 Hf 0.4463 0.0000 0.5537
N11 N 0.7818 0.0299 0.6313
N12 N 0.5000 0.3518 0.6482
Hf3 Hf 0.0000 0.5537 0.4463
# final energy	-8.65	eV per atom
# energy relative to the elements, uncorrected	-838	meV per atom
# total magnetization	0.00	μB/f.u.

# Sm4Te2PSe (PBE, relaxed)
data_Sm4Te2PSe
_chemical_formula_sum 'Sm4 Te2 P1 Se1'
_cell_length_a 4.2318
_cell_length_b 7.3574
_cell_length_c 7.6075
_cell_angle_alpha 108.66
_cell_angle_beta 90.00
_cell_angle_gamma 90.00
_symmetry_space_group_name_H-M 'P 1'
_symmetry_Int_Tables_number 1
loop_
_symmetry_equiv_pos_as_xyz
'x,y,z'
loop_
_atom_site_label
_atom_site_type_symbol
_atom_site_fract_x
_atom_site_fract_y
_atom_site_fract_z
Sm1 Sm 0.5000 0.2263 0.2121
Sm2 Sm 0.0000 0.2494 0.7845
Sm3 Sm 0.5000 0.7737 0.7879
Te1 Te 0.0000 0.5000 0.5000
Sm4 Sm 0.0000 0.7506 0.2155
P1 P 0.0000 0.0000 0.0000
Se1 Se 0.5000 0.5000 0.0000
Te2 Te 0.5000 0.0000 0.5000
# final energy	-5.87	eV per atom
# energy relative to the elements, uncorrected	-1614	meV per atom
# total magnetization	0.00	μB/f.u.

# ZrH6NOF5 (PBE, relaxed)
data_ZrH6NOF5
_chemical_formula_sum 'Zr4 H24 N4 O4 F20'
_cell_length_a 6.8239
_cell_length_b 7.5794
_cell_length_c 10.9554
_cell_angle_alpha 90.00
_cell_angle_beta 100.12
_cell_angle_gamma 90.00
_symmetry_space_group_name_H-M 'P 1'
_symmetry_Int_Tables_number 1
loop_
_symmetry_equiv_pos_as_xyz
'x,y,z'
loop_
_atom_site_label
_atom_site_type_symbol
_atom_site_fract_x
_atom_site_fract_y
_atom_site_fract_z
H1 H 0.7505 0.4030 0.7562
F1 F 0.2128 0.7080 0.3869
N1 N 0.2151 0.5674 0.1499
F2 F 0.0827 0.9207 0.0899
H2 H 0.7473 0.0642 0.6340
F3 F 0.2872 0.2080 0.1131
F4 F 0.5827 0.5793 0.5899
H3 H 0.2221 0.9521 0.6990
H4 H 0.2042 0.1602 0.6964
N2 N 0.2849 0.0674 0.3501
H5 H 0.2505 0.0970 0.2562
O1 O 0.3270 0.5538 0.7572
H6 H 0.2495 0.5970 0.2438
H7 H 0.2779 0.4521 0.8010
Zr1 Zr 0.7647 0.9439 0.0466
O2 O 0.1730 0.0538 0.7428
F5 F 0.2859 0.2981 0.6045
H8 H 0.7527 0.5642 0.8660
N3 N 0.7849 0.4326 0.8501
F6 F 0.1883 0.3197 0.8917
F7 F 0.3117 0.8197 0.6083
H9 H 0.7221 0.5479 0.1990
F8 F 0.7128 0.7920 0.8869
F9 F 0.4173 0.4207 0.4101
Zr2 Zr 0.2353 0.0561 0.9534
F10 F 0.8117 0.6803 0.1083
H10 H 0.7779 0.0479 0.3010
H11 H 0.7063 0.3498 0.8980
F11 F 0.2141 0.7981 0.8955
F12 F 0.7859 0.2019 0.1045
F13 F 0.0251 0.4014 0.4154
Zr3 Zr 0.2647 0.5561 0.5466
F14 F 0.9749 0.5986 0.5846
H12 H 0.2527 0.9358 0.3660
H13 H 0.2937 0.6502 0.1020
F15 F 0.4749 0.9014 0.0846
H14 H 0.7042 0.3398 0.1964
H15 H 0.2958 0.6602 0.8036
H16 H 0.2473 0.4358 0.1340
O3 O 0.6730 0.4462 0.2428
Zr4 Zr 0.7353 0.4439 0.4534
H17 H 0.9352 0.4045 0.8772
H18 H 0.7937 0.8498 0.6020
H19 H 0.4352 0.0955 0.3772
H20 H 0.0648 0.5955 0.1228
H21 H 0.7958 0.8398 0.3036
H22 H 0.7495 0.9030 0.7438
F16 F 0.5251 0.0986 0.9154
F17 F 0.7872 0.2920 0.6131
H23 H 0.2063 0.1502 0.3980
F18 F 0.9173 0.0793 0.9101
F19 F 0.6883 0.1803 0.3917
F20 F 0.7141 0.7019 0.3955
N4 N 0.7151 0.9326 0.6499
H24 H 0.5648 0.9045 0.6228
O4 O 0.8270 0.9462 0.2572
# final energy	-5.64	eV per atom
# total magnetization	0.06	μB/f.u.

# ScNi3Pd (PBE, relaxed)
data_ScNi3Pd
_chemical_formula_sum 'Sc1 Ni3 Pd1'
_cell_length_a 4.5302
_cell_length_b 4.5302
_cell_length_c 4.5302
_cell_angle_alpha 90.00
_cell_angle_beta 90.00
_cell_angle_gamma 90.00
_symmetry_space_group_name_H-M 'P 1'
_symmetry_Int_Tables_number 1
loop_
_symmetry_equiv_pos_as_xyz
'x,y,z'
loop_
_atom_site_label
_atom_site_type_symbol
_atom_site_fract_x
_atom_site_fract_y
_atom_site_fract_z
Ni1 Ni 0.5000 0.0000 0.0000
Ni2 Ni 0.0000 0.0000 0.5000
Ni3 Ni 0.0000 0.5000 0.0000
Sc1 Sc 0.5000 0.5000 0.5000
Pd1 Pd 0.0000 0.0000 0.0000
# final energy	-5.03	eV per atom
# total magnetization	1.35	μB/f.u.
# E above lowest polymorph	0	meV/atom
# DFT formation energy	0.7450	eV per atom

# PmHoTlZn (PBE, relaxed)
data_PmHoTlZn
_chemical_formula_sum 'Pm1 Ho1 Tl1 Zn1'
_cell_length_a 3.6976
_cell_length_b 3.6976
_cell_length_c 7.5369
_cell_angle_alpha 90.00
_cell_angle_beta 90.00
_cell_angle_gamma 90.00
_symmetry_space_group_name_H-M 'P 1'
_symmetry_Int_Tables_number 1
loop_
_symmetry_equiv_pos_as_xyz
'x,y,z'
loop_
_atom_site_label
_atom_site_type_symbol
_atom_site_fract_x
_atom_site_fract_y
_atom_site_fract_z
Tl1 Tl 0.5000 0.5000 0.1190
Pm1 Pm 0.0000 0.0000 0.8361
Ho1 Ho 0.0000 0.0000 0.3799
Zn1 Zn 0.5000 0.5000 0.5929
# final energy	-3.59	eV per atom
# total magnetization	0.00	μB/f.u.
# E above lowest polymorph	0	meV/atom
# DFT formation energy	-0.3518	eV per atom

# Na2BeZn2 (PBE, relaxed)
data_Na2BeZn2
_chemical_formula_sum 'Na4 Be2 Zn4'
_cell_length_a 6.2139
_cell_length_b 6.2139
_cell_length_c 5.1237
_cell_angle_alpha 90.00
_cell_angle_beta 90.00
_cell_angle_gamma 90.00
_symmetry_space_group_name_H-M 'P 1'
_symmetry_Int_Tables_number 1
loop_
_symmetry_equiv_pos_as_xyz
'x,y,z'
loop_
_atom_site_label
_atom_site_type_symbol
_atom_site_fract_x
_atom_site_fract_y
_atom_site_fract_z
Na1 Na 0.1771 0.6771 0.5000
Zn1 Zn 0.8416 0.6584 0.0000
Zn2 Zn 0.3416 0.8416 0.0000
Na2 Na 0.3229 0.1771 0.5000
Na3 Na 0.6771 0.8229 0.5000
Be1 Be 0.0000 0.0000 0.0000
Na4 Na 0.8229 0.3229 0.5000
Zn3 Zn 0.1584 0.3416 0.0000
Zn4 Zn 0.6584 0.1584 0.0000
Be2 Be 0.5000 0.5000 0.0000
# final energy	-1.54	eV per atom
# total magnetization	0.00	μB/f.u.
# DFT formation energy	0.2394	eV per atom